ScFeCo2 | Alexandria via LeMat-Bulk | PBE-GGA | optimized geometry; E = -6.96 eV/atom; space group = No. 160; energy relative to the elements = 0.296 eV per atom
1.0
8.5757 0.0480 0.0282
8.1321 2.7229 0.0282
8.1321 1.3486 2.3656
Co Fe Sc
2 1 1
Cartesian
24.6495 4.0879 2.4034 Co
6.2321 1.0335 0.6077 Co
12.6051 2.0905 1.2291 Fe
18.6132 3.0868 1.8149 Sc

=====

Sc2FeCo | Alexandria via LeMat-Bulk | PBE-GGA | optimized geometry; E = -6.96 eV/atom; space group = No. 25; energy relative to the elements = 0.098 eV per atom
1.0
-1.9575 2.0491 -0.7488
-2.1422 -0.7878 3.4441
2.8379 3.6621 2.6028
Fe Sc Co
1 2 1
Cartesian
0.1506 3.4702 3.3658 Fe
-1.1841 1.7478 2.1416 Sc
2.6768 3.4542 2.4550 Sc
1.3518 1.7444 1.2398 Co

=====

ScFeCo2 | Alexandria via LeMat-Bulk | PBE-GGA | optimized geometry; E = -7.51 eV/atom; space group = No. 166; energy relative to the elements = -0.262 eV per atom
1.0
-1.0587 -0.9992 -4.6831
3.5116 -1.6193 -3.0162
-0.8946 -8.2317 -0.6092
Sc Co Fe
3 6 3
Cartesian
1.7299 -5.7261 -6.8727 Sc
-0.1715 -5.1241 -1.4357 Sc
0.0000 0.0000 0.0000 Sc
0.2495 -3.6615 -5.7177 Co
0.7700 -7.6972 -4.9742 Co
-1.0172 -6.8731 -3.4392 Co
0.7883 -3.1529 -3.3342 Co
1.3088 -7.1887 -2.5908 Co
2.5755 -3.9771 -4.8693 Co
1.6286 -1.7742 -5.1252 Fe
0.7792 -5.4251 -4.1542 Fe
-0.0703 -9.0760 -3.1832 Fe

=====

Sc8FeCo2 | Alexandria via LeMat-Bulk | PBE-GGA | optimized geometry; E = -6.84 eV/atom; space group = No. 12; energy relative to the elements = -0.173 eV per atom
1.0
4.5988 0.0000 0.0000
0.0000 6.2092 0.0776
-2.2994 -2.5661 7.3446
Fe Sc Co
1 8 2
Cartesian
2.2994 0.0000 0.0000 Fe
0.0000 -1.5002 4.8772 Sc
2.2994 -1.1319 6.8971 Sc
2.2994 2.7411 4.4885 Sc
0.0000 4.7750 0.5251 Sc
2.2994 5.1433 2.5449 Sc
0.0000 1.3536 5.9741 Sc
0.0000 0.9020 2.9337 Sc
2.2994 2.2895 1.4480 Sc
2.2994 0.2890 4.6830 Co
0.0000 3.3540 2.7392 Co